DFT (PBE) results for an optimized crystal structure of BaNaSN2.

Results
Energy relative to the elements, uncorrected, meV/atom: 1022
SG: P4/mmm, No. 123
Excess energy over the best structure of this formula in the dataset, meV/atom: 268
Energy, eV/cell: -18.91
Total magnetic moment, μB per formula unit: 4.63
V, Å³ per cell: 167.8

Cell lengths 5.2901, 5.2901, 5.9975 Å; angles 90.00, 90.00, 90.00 degrees
Fractional coordinates of all 5 atoms:
N1 0.5000 0.0000 0.0000
N2 0.0000 0.5000 0.0000
Ba1 0.0000 0.0000 0.0000
S1 0.0000 0.0000 0.5000
Na1 0.5000 0.5000 0.5000